(1)
Here is crystalline Tm8AsP3Pb4 at its relaxed geometry from Alexandria. Energies are from GGA-PBE.

Summary:
**Total energy**: -5.47 eV/atom
**Symmetry**: C2/m (12)
**Energy relative to the elements**: -1.007 eV/atom

a b c (Å): 7.802 7.802 8.999
angles (deg): 115.59 115.59 60.03
Fractional coordinates of all 16 atoms:
Tm1 0.228 0.736 0.701
Tm2 0.232 0.232 0.697
Tm3 0.264 0.264 0.299
Tm4 0.264 0.772 0.299
Tm5 0.736 0.228 0.701
Tm6 0.736 0.736 0.701
Tm7 0.768 0.768 0.303
Tm8 0.772 0.264 0.299
As1 0.500 0.500 0.500
P1 0.000 0.000 0.500
P2 0.000 0.500 0.500
P3 0.500 0.000 0.500
Pb1 0.000 0.000 0.000
Pb2 0.000 0.500 0.000
Pb3 0.500 0.000 0.000
Pb4 0.500 0.500 0.000

***

(2)
Here is crystalline Zn2AsPPb at its relaxed geometry from Alexandria. Energies are from GGA-PBE.

Summary:
**Total energy**: -2.82 eV/atom
**Symmetry**: P4/mmm (123)
**Energy relative to the elements**: 0.441 eV/atom

a b c (Å): 4.856 4.856 4.973
angles (deg): 90.00 90.00 90.00
Fractional coordinates of all 5 atoms:
Zn1 0.000 0.500 0.000
Zn2 0.500 0.000 0.000
As1 0.000 0.000 0.000
P1 0.000 0.000 0.500
Pb1 0.500 0.500 0.500

***

(3)
Here is crystalline AsPPd3 at its relaxed geometry from Alexandria. Energies are from GGA-PBE.

Summary:
**Distance to the lowest polymorph of the same formula**: 0.712 eV per atom
**Total energy**: -4.68 eV/atom
**Symmetry**: Pm-3m (221)
**Energy relative to the elements**: 0.450 eV/atom

a b c (Å): 4.631 4.631 4.631
angles (deg): 90.00 90.00 90.00
Fractional coordinates of all 5 atoms:
As1 0.000 0.000 0.000
P1 0.500 0.500 0.500
Pd1 0.000 0.000 0.500
Pd2 0.000 0.500 0.000
Pd3 0.500 0.000 0.000

***

(4)
Here is crystalline AsP2Pd at its relaxed geometry from Alexandria. Energies are from GGA-PBE.

Summary:
**Distance to the lowest polymorph of the same formula**: 0.000 eV per atom
**Total energy**: -5.20 eV/atom
**Symmetry**: I-42d (122)
**Energy relative to the elements**: -0.030 eV/atom

a b c (Å): 6.671 6.671 6.671
angles (deg): 131.18 131.18 71.52
Fractional coordinates of all 8 atoms:
As1 0.000 0.000 0.000
As2 0.750 0.250 0.500
P1 0.138 0.625 0.013
P2 0.375 0.388 0.513
P3 0.612 0.125 0.987
P4 0.875 0.862 0.487
Pd1 0.250 0.750 0.500
Pd2 0.500 0.500 0.000

***

(5)
Here is crystalline AsPPd3 at its relaxed geometry from Alexandria. Energies are from GGA-PBE.

Summary:
**Distance to the lowest polymorph of the same formula**: 0.000 eV per atom
**Total energy**: -5.39 eV/atom
**Symmetry**: P2_1/m (11)
**Energy relative to the elements**: -0.262 eV/atom

a b c (Å): 5.802 4.174 8.162
angles (deg): 90.00 96.72 90.00
Fractional coordinates of all 10 atoms:
As1 0.225 0.250 0.355
As2 0.775 0.750 0.645
P1 0.296 0.250 0.852
P2 0.704 0.750 0.148
Pd1 0.018 0.250 0.624
Pd2 0.485 0.750 0.373
Pd3 0.495 0.250 0.119
Pd4 0.505 0.750 0.881
Pd5 0.515 0.250 0.627
Pd6 0.982 0.750 0.376

***

(6)
Here is crystalline AsP2Pd at its relaxed geometry from Alexandria. Energies are from GGA-PBE.

Summary:
**Distance to the lowest polymorph of the same formula**: 0.404 eV per atom
**Total energy**: -4.79 eV/atom
**Symmetry**: Fm-3m (225)
**Energy relative to the elements**: 0.373 eV/atom

a b c (Å): 4.466 4.466 4.466
angles (deg): 60.00 60.00 60.00
Fractional coordinates of all 4 atoms:
As1 0.000 0.000 0.000
P1 0.250 0.250 0.250
P2 0.750 0.750 0.750
Pd1 0.500 0.500 0.500

***

(7)
Here is crystalline AsP2Pd7 at its relaxed geometry from Alexandria. Energies are from GGA-PBE.

Summary:
**Total energy**: -5.57 eV/atom
**Symmetry**: I4/mmm (139)
**Energy relative to the elements**: -0.386 eV/atom

a b c (Å): 10.231 10.231 10.231
angles (deg): 157.56 157.56 31.95
Fractional coordinates of all 10 atoms:
As1 0.000 0.000 0.000
P1 0.328 0.328 0.000
P2 0.672 0.672 0.000
Pd1 0.105 0.605 0.500
Pd2 0.250 0.750 0.500
Pd3 0.395 0.895 0.500
Pd4 0.500 0.500 0.000
Pd5 0.605 0.105 0.500
Pd6 0.750 0.250 0.500
Pd7 0.895 0.395 0.500

***

(8)
Here is crystalline AsPPd3 at its relaxed geometry from Alexandria. Energies are from GGA-PBE.

Summary:
**Distance to the lowest polymorph of the same formula**: 0.261 eV per atom
**Total energy**: -5.13 eV/atom
**Symmetry**: Pm-3m (221)
**Energy relative to the elements**: -0.001 eV/atom

a b c (Å): 4.503 4.503 4.503
angles (deg): 90.00 90.00 90.00
Fractional coordinates of all 5 atoms:
As1 0.000 0.000 0.000
P1 0.500 0.500 0.500
Pd1 0.000 0.500 0.500
Pd2 0.500 0.000 0.500
Pd3 0.500 0.500 0.000

***

(9)
Here is crystalline AsP2Pd5 at its relaxed geometry from Alexandria. Energies are from GGA-PBE.

Summary:
**Total energy**: -5.52 eV/atom
**Symmetry**: Pnma (62)
**Energy relative to the elements**: -0.342 eV/atom

a b c (Å): 11.988 6.543 6.425
angles (deg): 90.00 90.00 90.00
Fractional coordinates of all 32 atoms:
As1 0.002 0.250 0.037
As2 0.498 0.750 0.537
As3 0.502 0.250 0.463
As4 0.998 0.750 0.963
P1 0.163 0.007 0.529
P2 0.163 0.493 0.529
P3 0.337 0.507 0.029
P4 0.337 0.993 0.029
P5 0.663 0.007 0.971
P6 0.663 0.493 0.971
P7 0.837 0.507 0.471
P8 0.837 0.993 0.471
Pd1 0.002 0.750 0.510
Pd2 0.145 0.522 0.165
Pd3 0.145 0.978 0.165
Pd4 0.168 0.250 0.805
Pd5 0.185 0.750 0.792
Pd6 0.315 0.250 0.292
Pd7 0.332 0.750 0.305
Pd8 0.355 0.022 0.665
Pd9 0.355 0.478 0.665
Pd10 0.498 0.250 0.010
Pd11 0.502 0.750 0.990
Pd12 0.645 0.522 0.335
Pd13 0.645 0.978 0.335
Pd14 0.668 0.250 0.695
Pd15 0.685 0.750 0.708
Pd16 0.815 0.250 0.208
Pd17 0.832 0.750 0.195
Pd18 0.855 0.022 0.835
Pd19 0.855 0.478 0.835
Pd20 0.998 0.250 0.490

***

(10)
Here is crystalline AsP3Pd at its relaxed geometry from Alexandria. Energies are from GGA-PBE.

Summary:
**Distance to the lowest polymorph of the same formula**: 0.000 eV per atom
**Total energy**: -4.29 eV/atom
**Symmetry**: Pm-3m (221)
**Energy relative to the elements**: 0.928 eV/atom

a b c (Å): 4.666 4.666 4.666
angles (deg): 90.00 90.00 90.00
Fractional coordinates of all 5 atoms:
As1 0.000 0.000 0.000
P1 0.000 0.500 0.500
P2 0.500 0.000 0.500
P3 0.500 0.500 0.000
Pd1 0.500 0.500 0.500

***

(11)
Here is crystalline As2PPd8 at its relaxed geometry from Alexandria. Energies are from GGA-PBE.

Summary:
**Total energy**: -5.49 eV/atom
**Symmetry**: C2/m (12)
**Energy relative to the elements**: -0.376 eV/atom

a b c (Å): 7.577 7.577 5.974
angles (deg): 109.66 109.66 31.85
Fractional coordinates of all 11 atoms:
As1 0.176 0.176 0.186
As2 0.824 0.824 0.814
P1 0.500 0.500 0.500
Pd1 0.031 0.031 0.307
Pd2 0.200 0.200 0.804
Pd3 0.335 0.335 0.538
Pd4 0.412 0.412 0.069
Pd5 0.588 0.588 0.931
Pd6 0.665 0.665 0.462
Pd7 0.800 0.800 0.196
Pd8 0.969 0.969 0.693

***

(12)
Here is crystalline As2PPd5 at its relaxed geometry from Alexandria. Energies are from GGA-PBE.

Summary:
**Total energy**: -5.34 eV/atom
**Symmetry**: Pnma (62)
**Energy relative to the elements**: -0.260 eV/atom

a b c (Å): 6.759 4.198 19.803
angles (deg): 90.00 90.00 90.00
Fractional coordinates of all 32 atoms:
As1 0.105 0.250 0.086
As2 0.129 0.250 0.748
As3 0.371 0.750 0.248
As4 0.395 0.750 0.586
As5 0.605 0.250 0.414
As6 0.629 0.250 0.752
As7 0.871 0.750 0.252
As8 0.895 0.750 0.914
P1 0.123 0.250 0.419
P2 0.377 0.750 0.919
P3 0.623 0.250 0.081
P4 0.877 0.750 0.581
Pd1 0.095 0.750 0.675
Pd2 0.105 0.750 0.473
Pd3 0.112 0.750 0.158
Pd4 0.146 0.750 0.015
Pd5 0.178 0.750 0.820
Pd6 0.322 0.250 0.320
Pd7 0.354 0.250 0.515
Pd8 0.388 0.250 0.658
Pd9 0.395 0.250 0.973
Pd10 0.405 0.250 0.175
Pd11 0.595 0.750 0.825
Pd12 0.605 0.750 0.027
Pd13 0.612 0.750 0.342
Pd14 0.646 0.750 0.485
Pd15 0.678 0.750 0.680
Pd16 0.822 0.250 0.180
Pd17 0.854 0.250 0.985
Pd18 0.888 0.250 0.842
Pd19 0.895 0.250 0.527
Pd20 0.905 0.250 0.325